# 1
# Y2ReHg | the Alexandria database | SCAN | single point on PBEsol structure
data_Y2ReHg
_chemical_formula_sum 'Y2 Re1 Hg1'
_cell_length_a 4.886
_cell_length_b 4.886
_cell_length_c 4.886
_cell_angle_alpha 60.00
_cell_angle_beta 60.00
_cell_angle_gamma 60.00
_space_group_name_H-M_alt 'P 1'
_space_group_IT_number 1
loop_
_space_group_symop_operation_xyz
'x,y,z'
loop_
_atom_site_label
_atom_site_fract_x
_atom_site_fract_y
_atom_site_fract_z
Y1 0.000 0.000 0.000
Y2 0.250 0.250 0.250
Re1 0.750 0.750 0.750
Hg1 0.500 0.500 0.500
# E_form (eV per atom): 0.28
# Fermi-level density of states (states/eV/cell): 4.7
# E_tot (eV/atom): -48.462


# 2
# YRe3Hg | the Alexandria database | SCAN | single point on PBEsol structure
data_YRe3Hg
_chemical_formula_sum 'Y1 Re3 Hg1'
_cell_length_a 4.863
_cell_length_b 4.863
_cell_length_c 4.863
_cell_angle_alpha 90.00
_cell_angle_beta 90.00
_cell_angle_gamma 90.00
_space_group_name_H-M_alt 'P 1'
_space_group_IT_number 1
loop_
_space_group_symop_operation_xyz
'x,y,z'
loop_
_atom_site_label
_atom_site_fract_x
_atom_site_fract_y
_atom_site_fract_z
Y1 0.000 0.000 0.000
Re1 0.000 0.500 0.500
Re2 0.500 0.000 0.500
Re3 0.500 0.500 0.000
Hg1 0.500 0.500 0.500
# E_form (eV per atom): 2.58
# Fermi-level density of states (states/eV/cell): 6.1
# E_tot (eV/atom): -59.282


# 3
# Y2ReHg | the Alexandria database | SCAN | single point on PBEsol structure
data_Y2ReHg
_chemical_formula_sum 'Y2 Re1 Hg1'
_cell_length_a 4.909
_cell_length_b 4.909
_cell_length_c 3.576
_cell_angle_alpha 90.00
_cell_angle_beta 90.00
_cell_angle_gamma 90.00
_space_group_name_H-M_alt 'P 1'
_space_group_IT_number 1
loop_
_space_group_symop_operation_xyz
'x,y,z'
loop_
_atom_site_label
_atom_site_fract_x
_atom_site_fract_y
_atom_site_fract_z
Y1 0.000 0.500 0.000
Y2 0.500 0.000 0.000
Re1 0.000 0.000 0.500
Hg1 0.500 0.500 0.500
# E_form (eV per atom): -0.14
# Fermi-level density of states (states/eV/cell): 3.3
# E_tot (eV/atom): -48.877


> Number 2 is which compound?

YRe3Hg